# CeHoN

A relaxed CeHoN crystal (PBE, the Alexandria database).

## Properties
Density of states at the Fermi level ... 13.993 states/eV per cell
Uncorrected energy ... -6.11 eV per atom
Energy above the lowest structure with this stoichiometry ... 1123.2 meV per atom

Unit cell a=4.753 b=4.753 c=7.803 alpha=90.00 beta=90.00 gamma=90.00
Space group I4mm (No. 107)
Inequivalent atoms, fractional coordinates:
Ce: 0.000 0.000 0.000 [2 per cell]
Ho: 0.000 0.000 0.518 [2 per cell]
N: 0.000 0.000 0.255 [2 per cell]